Entry 1:
Here is a geometry-optimized CoTcP structure from Alexandria via LeMat-Bulk. Energies are from PBE.

Output
formation enthalpy at 0 K = -0.1809 eV per atom
density = 8.65 g/cm3
crystal system = tetragonal
space group = I4mm

abc: 4.8728 4.8727 2.8515
angles: 72.99 72.99 34.03
Last column: nearest neighbours and their distance in Å.
Sites, in units of the cell vectors:
Tc (0.3192, 0.3192, 0.6808)  4 P 2.47, 5 Co 2.63-2.71
Co (0.0226, 0.0226, 0.9774)  4 P 2.35
P (0.6581, 0.6581, 0.3419)  4 Co 2.35, 4 Tc 2.47

***

Entry 2:
Here is a geometry-optimized TbHoMg2Au4 structure from Alexandria via LeMat-Bulk. Energies are from PBE.

Output
formation enthalpy at 0 K = -0.7817 eV per atom
density = 11.54 g/cm3
crystal system = trigonal
space group = R-3m

abc: 4.9167 4.9167 8.4635
angles: 73.11 73.11 60.00
Last column: nearest neighbours and their distance in Å.
Sites, in units of the cell vectors:
Au (0.1266, 0.1266, 0.6204)  4 Mg 2.95-3.02, 3 Ho 3.00, 1 Tb 3.03
Au (0.8734, 0.8734, 0.3796)  4 Mg 2.95-3.02, 3 Ho 3.00, 1 Tb 3.03
Au (0.6247, 0.6247, 0.1260)  1 Ho 2.98, 4 Mg 3.00-3.01, 3 Tb 3.01
Au (0.3753, 0.3753, 0.8740)  1 Ho 2.98, 4 Mg 3.00-3.01, 3 Tb 3.01
Mg (0.7501, 0.7501, 0.7497)  8 Au 2.95-3.02
Mg (0.2499, 0.2499, 0.2503)  8 Au 2.95-3.02
Ho (0.5000, 0.5000, 0.5000)  8 Au 2.98-3.00
Tb (0.0000, 0.0000, 0.0000)  8 Au 3.01-3.03

***

Entry 3:
Here is a geometry-optimized ZrTcSe structure from Alexandria via LeMat-Bulk. Energies are from PBE.

Output
raw formation energy = 277 meV per atom
density = 7.08 g/cm3
crystal system = cubic
space group = F-43m

abc: 4.4634 4.4634 4.4634
angles: 60.00 60.00 60.00
Last column: nearest neighbours and their distance in Å.
Sites, in units of the cell vectors:
Tc (0.5000, 0.5000, 0.5000)  4 Zr 2.73
Se (0.0000, 0.0000, 0.0000)  4 Zr 2.73
Zr (0.7500, 0.7500, 0.7500)  4 Tc 2.73, 4 Se 2.73

***

Entry 4:
Here is a geometry-optimized BeFe2Co structure from Alexandria via LeMat-Bulk. Energies are from PBE.

Output
formation enthalpy at 0 K = -0.0482 eV per atom
density = 7.09 g/cm3
crystal system = monoclinic
space group = Pm

abc: 3.8571 2.4233 4.5642
angles: 80.33 90.00 90.00
Last column: nearest neighbours and their distance in Å.
Sites, in units of the cell vectors:
Co (0.5000, 0.7300, 0.7481)  2 Be 2.33, 4 Fe 2.34-2.46, 2 Co 2.42
Be (0.0000, 0.5385, 0.4950)  2 Co 2.33, 4 Fe 2.37-2.42, 2 Be 2.42
Fe (0.5000, 0.2356, 0.2648)  2 Co 2.34-2.46, 2 Be 2.37, 4 Fe 2.42
Fe (0.0000, 0.9958, 0.9920)  2 Co 2.37, 2 Be 2.38-2.42, 4 Fe 2.42

***

Entry 5:
Here is a geometry-optimized CeErCuAu structure from Alexandria via LeMat-Bulk. Energies are from PBE.

Output
formation enthalpy at 0 K = -0.4168 eV per atom
density = 10.31 g/cm3
crystal system = cubic
space group = F-43m

abc: 5.0578 5.0578 5.0578
angles: 60.00 60.00 60.00
Last column: nearest neighbours and their distance in Å.
Sites, in units of the cell vectors:
Cu (0.5000, 0.5000, 0.5000)  4 Ce 3.10, 4 Er 3.10
Er (0.7500, 0.7500, 0.7500)  4 Cu 3.10, 4 Au 3.10
Au (0.0000, 0.0000, 0.0000)  4 Ce 3.10, 4 Er 3.10
Ce (0.2500, 0.2500, 0.2500)  4 Cu 3.10, 4 Au 3.10

***

Entry 6:
Here is a geometry-optimized ScMo2Br structure from Alexandria via LeMat-Bulk. Energies are from PBE.

Output
raw formation energy = 328 meV per atom
density = 6.53 g/cm3
crystal system = monoclinic
space group = Cm

abc: 5.0676 5.0676 5.4715
angles: 71.73 71.73 37.39
Last column: nearest neighbours and their distance in Å.
Sites, in units of the cell vectors:
Sc (0.4633, 0.4633, 0.5646)  3 Br 2.64-2.80, 1 Mo 2.86
Br (0.7122, 0.7122, 0.6701)  3 Sc 2.64-2.80, 4 Mo 2.90-2.95
Mo (0.3132, 0.3132, 0.1929)  2 Mo 2.42
Mo (0.0113, 0.0113, 0.0724)  2 Mo 2.42